--- one ---
Density functional theory data (PBE) for a relaxed structure of GaSnSe2N.

Cell: 5.4103 5.4103 4.1274 Å, 90.00 90.00 90.00°
Closest atoms and distances in Å follow each position.
Atoms (fractional coordinates):
N (0.0000, 0.0000, 0.5000)  2 Sn 2.06
Se (0.0000, 0.5000, 0.0000)  2 Sn 2.71
Se (0.5000, 0.0000, 0.0000)  2 Sn 2.71
Ga (0.5000, 0.5000, 0.5000)  8 Se 3.40
Sn (0.0000, 0.0000, 0.0000)  2 N 2.06

--- two ---
Density functional theory data (PBE) for a relaxed structure of GaSnSe2N.

Cell: 5.2613 5.2613 3.7711 Å, 90.00 90.00 90.00°
Closest atoms and distances in Å follow each position.
Atoms (fractional coordinates):
Ga (0.0000, 0.0000, 0.0000)  2 N 1.89
Sn (0.5000, 0.5000, 0.5000)  8 Se 3.24
N (0.0000, 0.0000, 0.5000)  2 Ga 1.89
Se (0.0000, 0.5000, 0.0000)  2 Ga 2.63
Se (0.5000, 0.0000, 0.0000)  2 Ga 2.63

two takes first place; second place is 0.241 eV/atom up.

--- one ---
Density functional theory data (PBE) for a relaxed structure of GaTcSeN2.

Cell: 3.8504 3.8504 5.4163 Å, 90.00 90.00 90.00°
Closest atoms and distances in Å follow each position.
Atoms (fractional coordinates):
Se (0.0000, 0.0000, 0.5000)  2 Tc 2.71, 4 Ga 2.72
N (0.5000, 0.0000, 0.0000)  2 Tc 1.93
N (0.0000, 0.5000, 0.0000)  2 Tc 1.93
Ga (0.5000, 0.5000, 0.5000)  4 Se 2.72
Tc (0.0000, 0.0000, 0.0000)  4 N 1.93

--- two ---
Density functional theory data (PBE) for a relaxed structure of GaTcSeN2.

Cell: 3.7863 3.7863 5.6100 Å, 90.00 90.00 90.00°
Closest atoms and distances in Å follow each position.
Atoms (fractional coordinates):
N (0.0000, 0.5000, 0.0000)  2 Ga 1.89
N (0.5000, 0.0000, 0.0000)  2 Ga 1.89
Tc (0.5000, 0.5000, 0.5000)  4 Se 2.68
Ga (0.0000, 0.0000, 0.0000)  4 N 1.89
Se (0.0000, 0.0000, 0.5000)  4 Tc 2.68, 2 Ga 2.80

one takes first place; second place is 1.083 eV/atom up.

--- one ---
Density functional theory data (PBE) for a relaxed structure of TiGaSeN2.

Cell: 3.8667 3.8667 5.5132 Å, 90.00 90.00 90.00°
Closest atoms and distances in Å follow each position.
Atoms (fractional coordinates):
N (0.5000, 0.0000, 0.0000)  2 Ti 1.93
N (0.0000, 0.5000, 0.0000)  2 Ti 1.93
Se (0.0000, 0.0000, 0.5000)  4 Ga 2.73, 2 Ti 2.76
Ga (0.5000, 0.5000, 0.5000)  4 Se 2.73
Ti (0.0000, 0.0000, 0.0000)  4 N 1.93

--- two ---
Density functional theory data (PBE) for a relaxed structure of TiGaSeN2.

Cell: 3.8255 3.8255 5.2379 Å, 90.00 90.00 90.00°
Closest atoms and distances in Å follow each position.
Atoms (fractional coordinates):
Ti (0.5000, 0.5000, 0.5000)  4 Se 2.71
N (0.0000, 0.5000, 0.0000)  2 Ga 1.91
N (0.5000, 0.0000, 0.0000)  2 Ga 1.91
Ga (0.0000, 0.0000, 0.0000)  4 N 1.91
Se (0.0000, 0.0000, 0.5000)  2 Ga 2.62, 4 Ti 2.71

one takes first place; second place is 0.653 eV/atom up.

--- one ---
Density functional theory data (PBE) for a relaxed structure of YGaSeN2.

Cell: 3.9846 3.9846 5.1391 Å, 90.00 90.00 90.00°
Closest atoms and distances in Å follow each position.
Atoms (fractional coordinates):
Y (0.5000, 0.5000, 0.5000)  4 Se 2.82
N (0.5000, 0.0000, 0.0000)  2 Ga 1.99
N (0.0000, 0.5000, 0.0000)  2 Ga 1.99
Se (0.0000, 0.0000, 0.5000)  2 Ga 2.57, 4 Y 2.82
Ga (0.0000, 0.0000, 0.0000)  4 N 1.99

--- two ---
Density functional theory data (PBE) for a relaxed structure of YGaSeN2.

Cell: 4.5813 4.5813 5.6994 Å, 90.00 90.00 90.00°
Closest atoms and distances in Å follow each position.
Atoms (fractional coordinates):
N (0.0000, 0.5000, 0.0000)  2 Y 2.29
N (0.5000, 0.0000, 0.0000)  2 Y 2.29
Ga (0.5000, 0.5000, 0.5000)  4 Se 3.24
Y (0.0000, 0.0000, 0.0000)  4 N 2.29
Se (0.0000, 0.0000, 0.5000)  2 Y 2.85

one takes first place; second place is 0.413 eV/atom up.

--- one ---
Density functional theory data (PBE) for a relaxed structure of ZnGaSe2N.

Cell: 5.2804 5.2804 3.5555 Å, 90.00 90.00 90.00°
Closest atoms and distances in Å follow each position.
Atoms (fractional coordinates):
Se (0.5000, 0.0000, 0.0000)  2 Ga 2.64
Se (0.0000, 0.5000, 0.0000)  2 Ga 2.64
Ga (0.0000, 0.0000, 0.0000)  2 N 1.78
Zn (0.5000, 0.5000, 0.5000)  8 Se 3.18, 2 Zn 3.56
N (0.0000, 0.0000, 0.5000)  2 Ga 1.78

--- two ---
Density functional theory data (PBE) for a relaxed structure of ZnGaSe2N.

Cell: 5.1690 5.1690 3.6780 Å, 90.00 90.00 90.00°
Closest atoms and distances in Å follow each position.
Atoms (fractional coordinates):
Se (0.5000, 0.0000, 0.0000)  2 Zn 2.58
Se (0.0000, 0.5000, 0.0000)  2 Zn 2.58
Ga (0.5000, 0.5000, 0.5000)  8 Se 3.17
N (0.0000, 0.0000, 0.5000)  2 Zn 1.84
Zn (0.0000, 0.0000, 0.0000)  2 N 1.84

one takes first place; second place is 0.096 eV/atom up.

--- one ---
Density functional theory data (PBE) for a relaxed structure of ZrGaSeN2.

Cell: 3.8912 3.8912 4.9896 Å, 90.00 90.00 90.00°
Closest atoms and distances in Å follow each position.
Atoms (fractional coordinates):
N (0.5000, 0.0000, 0.0000)  2 Ga 1.95
N (0.0000, 0.5000, 0.0000)  2 Ga 1.95
Ga (0.0000, 0.0000, 0.0000)  4 N 1.95
Zr (0.5000, 0.5000, 0.5000)  4 Se 2.75
Se (0.0000, 0.0000, 0.5000)  2 Ga 2.49, 4 Zr 2.75

--- two ---
Density functional theory data (PBE) for a relaxed structure of ZrGaSeN2.

Cell: 4.1317 4.1317 5.7176 Å, 90.00 90.00 90.00°
Closest atoms and distances in Å follow each position.
Atoms (fractional coordinates):
N (0.5000, 0.0000, 0.0000)  2 Zr 2.07
N (0.0000, 0.5000, 0.0000)  2 Zr 2.07
Zr (0.0000, 0.0000, 0.0000)  4 N 2.07
Se (0.0000, 0.0000, 0.5000)  2 Zr 2.86, 4 Ga 2.92
Ga (0.5000, 0.5000, 0.5000)  4 Se 2.92

two takes first place; second place is 0.316 eV/atom up.

--- one ---
Density functional theory data (PBE) for a relaxed structure of Ga2SiN.

Cell: 5.2135 5.2135 6.1200 Å, 64.79 64.79 90.00°
Closest atoms and distances in Å follow each position.
Atoms (fractional coordinates):
Ga (0.3750, 0.4464, 0.7500)  2 N 2.01
Ga (0.8750, 0.8036, 0.7500)  2 N 2.01
Ga (0.5536, 0.1250, 0.2500)  2 N 2.01
Ga (0.1964, 0.6250, 0.2500)  2 N 2.01
Si (0.0000, 0.0000, 0.0000)  4 Ga 2.45
Si (0.7500, 0.2500, 0.5000)  4 Ga 2.45
N (0.5000, 0.5000, 0.0000)  4 Ga 2.01
N (0.2500, 0.7500, 0.5000)  4 Ga 2.01

--- two ---
Density functional theory data (PBE) for a relaxed structure of Ga2SiN.

Cell: 4.3286 4.3286 4.3286 Å, 60.00 60.00 60.00°
Closest atoms and distances in Å follow each position.
Atoms (fractional coordinates):
Ga (0.2500, 0.2500, 0.2500)  4 Si 2.65, 4 N 2.65
Ga (0.7500, 0.7500, 0.7500)  4 Si 2.65, 4 N 2.65
N (0.0000, 0.0000, 0.0000)  8 Ga 2.65
Si (0.5000, 0.5000, 0.5000)  8 Ga 2.65

one takes first place; second place is 0.897 eV/atom up.

--- one ---
Density functional theory data (PBE) for a relaxed structure of GaSi3N.

Cell: 4.6751 4.6751 4.6751 Å, 90.00 90.00 90.00°
Closest atoms and distances in Å follow each position.
Atoms (fractional coordinates):
N (0.5000, 0.5000, 0.5000)  12 Si 3.31
Ga (0.0000, 0.0000, 0.0000)  6 Si 2.34
Si (0.0000, 0.0000, 0.5000)  2 Ga 2.34
Si (0.0000, 0.5000, 0.0000)  2 Ga 2.34
Si (0.5000, 0.0000, 0.0000)  2 Ga 2.34

--- two ---
Density functional theory data (PBE) for a relaxed structure of GaSi3N.

Cell: 4.1097 4.1097 4.1097 Å, 90.00 90.00 90.00°
Closest atoms and distances in Å follow each position.
Atoms (fractional coordinates):
Ga (0.5000, 0.5000, 0.5000)  12 Si 2.91
Si (0.0000, 0.5000, 0.0000)  2 N 2.05
Si (0.0000, 0.0000, 0.5000)  2 N 2.05
Si (0.5000, 0.0000, 0.0000)  2 N 2.05
N (0.0000, 0.0000, 0.0000)  6 Si 2.05

two takes first place; second place is 1.329 eV/atom up.